Record 1
## HfMgCd (PBE)

Data for a relaxed HfMgCd crystal.

The structure belongs to space group P2_1 (No. 4); the cell edges are 3.212, 3.213 and 12.564 Å and the angles 90.00°, 90.01° and 90.00°. The asymmetric unit holds Hf at (0.249, 0.000, 0.417), Mg at (0.249, 0.997, 0.087) and Cd at (0.251, 0.999, 0.758).

The total magnetization is 0.000 μB per atom. As for the formation enthalpy at 0 K: -0.079 eV per atom. The calculation puts the uncorrected energy at -4.233 eV/atom.

=====

Record 2
## Ca3VB (PBE)

Data for a relaxed Ca3VB crystal.

The structure belongs to space group Pm-3m (No. 221); the cell edges are 5.259, 5.259 and 5.259 Å and the angles 90.00°, 90.00° and 90.00°. The asymmetric unit holds Ca at (0.000, 0.000, 0.500), V at (0.500, 0.500, 0.500) and B at (0.000, 0.000, 0.000).

The total magnetization is 0.770 μB per atom. As for the energy above the lowest structure with this stoichiometry: 0.00 kJ per mole of atoms. As for the formation enthalpy at 0 K: 0.676 eV per atom. The calculation puts the uncorrected energy at -3.684 eV/atom.

=====

Record 3
## Cs7Rb2Cl2 (PBE)

Data for a relaxed Cs7Rb2Cl2 crystal.

The structure belongs to space group C2/m (No. 12); the cell edges are 10.776, 16.667 and 13.241 Å and the angles 90.00°, 98.26° and 90.00°. The asymmetric unit holds Cs at (0.000, 0.000, 0.000), Cs at (0.081, 0.500, 0.840), Cs at (0.235, 0.189, 0.804), Rb at (0.000, 0.341, 0.500) and Cl at (0.217, 0.500, 0.093).

The total magnetization is 0.000 μB per atom. For the uncorrected formation energy, the calculation gives -6.79 eV/f.u. The calculation puts the uncorrected energy at -1.672 eV/atom.

=====

Record 4
## PmAgSeS (PBE)

Data for a relaxed PmAgSeS crystal.

The structure belongs to space group R-3m (No. 166, hexagonal axes); the cell edges are 4.5222, 4.5222 and 33.4724 Å and the angles 90.00°, 90.00° and 120.00°. The asymmetric unit holds Pm at (0.0000, 0.0000, 0.1110), Ag at (0.0000, 0.0000, 0.3072), Se at (0.0000, 0.0000, 0.3897) and S at (0.0000, 0.0000, 0.1970).

The total magnetization is 0.000 μB per atom. For the uncorrected formation energy, the calculation gives -5.04 eV/f.u. As for the energy above the lowest structure with this stoichiometry: 0.00 kJ per mole of atoms. The calculation puts the uncorrected energy at -5.062 eV/atom.

=====

Record 5
## Na5LiHg (PBE)

Data for a relaxed Na5LiHg crystal.

The structure belongs to space group C2/c (No. 15); the cell edges are 8.675, 9.062 and 11.679 Å and the angles 90.00°, 106.19° and 90.00°. The asymmetric unit holds Na at (0.000, 0.126, 0.250), Na at (0.119, 0.361, 0.532), Na at (0.204, 0.218, 0.839), Li at (0.000, 0.000, 0.000) and Hg at (0.000, 0.477, 0.250).

The total magnetization is 0.000 μB per atom. As for the formation enthalpy at 0 K: -0.019 eV per atom. The calculation puts the uncorrected energy at -1.278 eV/atom.

=====

Record 6
## Tl2TePt (PBE)

Data for a relaxed Tl2TePt crystal.

The structure belongs to space group Fm-3m (No. 225); the cell edges are 7.425, 7.425 and 7.425 Å and the angles 90.00°, 90.00° and 90.00°. The asymmetric unit holds Tl at (0.250, 0.250, 0.250), Te at (0.000, 0.000, 0.000) and Pt at (0.000, 0.000, 0.500).

The total magnetization is 0.000 μB per atom. For the uncorrected formation energy, the calculation gives 1.12 eV/f.u. As for the energy above the lowest structure with this stoichiometry: 45.39 kJ per mole of atoms. The calculation puts the uncorrected energy at -3.200 eV/atom.

=====

Record 7
## KMgW4 (PBE)

Data for a relaxed KMgW4 crystal.

The structure belongs to space group F-43m (No. 216); the cell edges are 7.792, 7.792 and 7.792 Å and the angles 90.00°, 90.00° and 90.00°. The asymmetric unit holds K at (0.000, 0.000, 0.000), Mg at (0.250, 0.250, 0.750) and W at (0.126, 0.126, 0.374).

The total magnetization is 0.000 μB per atom. As for the formation enthalpy at 0 K: 1.126 eV per atom. The calculation puts the uncorrected energy at -7.958 eV/atom.

=====

Record 8
## CrGaFe14 (PBE)

Data for a relaxed CrGaFe14 crystal.

The structure belongs to space group Cmmm (No. 65); the cell edges are 5.809, 8.024 and 8.003 Å and the angles 90.00°, 90.00° and 90.00°. The asymmetric unit holds Cr at (0.000, 0.000, 0.000), Ga at (0.000, 0.500, 0.000), Fe at (0.000, 0.000, 0.500), Fe at (0.000, 0.252, 0.249), Fe at (0.000, 0.500, 0.500), Fe at (0.245, 0.000, 0.253), Fe at (0.250, 0.250, 0.000) and Fe at (0.250, 0.250, 0.500).

The total magnetization is 1.871 μB per atom. As for the formation enthalpy at 0 K: -0.008 eV per atom. The calculation puts the uncorrected energy at -8.203 eV/atom.

=====

Record 9
## Nd12Ho2In (PBE)

Data for a relaxed Nd12Ho2In crystal.

The structure belongs to space group Cmme (No. 67); the cell edges are 7.315, 11.600 and 24.639 Å and the angles 90.00°, 90.00° and 90.00°. The asymmetric unit holds Nd at (0.000, 0.002, 0.071), Nd at (0.000, 0.027, 0.561), Nd at (0.228, 0.250, 0.412), Nd at (0.248, 0.250, 0.878), Nd at (0.250, 0.000, 0.196), Nd at (0.250, 0.000, 0.323), Ho at (0.000, 0.250, 0.261), Ho at (0.000, 0.250, 0.734) and In at (0.000, 0.250, 0.000).

The total magnetization is 0.000 μB per atom. As for the formation enthalpy at 0 K: 0.096 eV per atom. The calculation puts the uncorrected energy at -4.511 eV/atom.

=====

Record 10
## ZnInRh (PBE)

Data for a relaxed ZnInRh crystal.

The structure belongs to space group F-43m (No. 216); the cell edges are 6.157, 6.157 and 6.157 Å and the angles 90.00°, 90.00° and 90.00°. The asymmetric unit holds Zn at (0.000, 0.000, 0.000), In at (0.000, 0.000, 0.500) and Rh at (0.250, 0.250, 0.750).

The total magnetization is 0.000 μB per atom. As for the formation enthalpy at 0 K: -0.200 eV per atom. The calculation puts the uncorrected energy at -3.988 eV/atom.

=====

Record 11
## Hg5Se3 (PBE)

Data for a relaxed Hg5Se3 crystal.

The structure belongs to space group P6_3/mcm (No. 193); the cell edges are 9.4629, 9.4629 and 6.1547 Å and the angles 90.00°, 90.00° and 120.00°. The asymmetric unit holds Hg at (0.0000, 0.2230, 0.2500), Hg at (0.3333, 0.6667, 0.0000) and Se at (0.0000, 0.3080, 0.7500).

The total magnetization is 0.000 μB per atom. For the uncorrected formation energy, the calculation gives -0.12 eV/f.u. As for the energy above the lowest structure with this stoichiometry: 0.00 kJ per mole of atoms. The calculation puts the uncorrected energy at -1.510 eV/atom.

=====

Record 12
## CuNF3 (PBE)

Data for a relaxed CuNF3 crystal.

The structure belongs to space group P-1 (No. 2); the cell edges are 4.651, 5.347 and 6.247 Å and the angles 110.45°, 93.68° and 91.02°. The asymmetric unit holds Cu at (0.035, 0.316, 0.126), N at (0.298, 0.338, 0.364), F at (0.190, 0.941, 0.835), F at (0.229, 0.614, 0.100) and F at (0.269, 0.152, 0.458).

The total magnetization is 0.199 μB per atom. For the uncorrected formation energy, the calculation gives -2.54 eV/f.u. As for the energy above the lowest structure with this stoichiometry: 0.00 kJ per mole of atoms. The calculation puts the uncorrected energy at -4.115 eV/atom.

=====

Record 13
## PuHfZn (PBE)

Data for a relaxed PuHfZn crystal.

The structure belongs to space group P-6m2 (No. 187); the cell edges are 4.8931, 4.8931 and 3.1087 Å and the angles 90.00°, 90.00° and 120.00°. The asymmetric unit holds Pu at (0.0000, 0.0000, 0.0000), Hf at (0.6667, 0.3333, 0.5000) and Zn at (0.3333, 0.6667, 0.5000).

The total magnetization is 1.819 μB per atom. As for the energy above the lowest structure with this stoichiometry: 10.24 kJ per mole of atoms. As for the formation enthalpy at 0 K: 0.099 eV per atom. The calculation puts the uncorrected energy at -8.420 eV/atom.

=====

Record 14
## TbGaPd (PBE)

Data for a relaxed TbGaPd crystal.

The structure belongs to space group I4mm (No. 107); the cell edges are 3.455, 3.455 and 10.014 Å and the angles 90.00°, 90.00° and 90.00°. The asymmetric unit holds Tb at (0.000, 0.000, 0.000), Ga at (0.000, 0.000, 0.691) and Pd at (0.000, 0.000, 0.306).

The total magnetization is 0.000 μB per atom. As for the formation enthalpy at 0 K: -0.689 eV per atom. The calculation puts the uncorrected energy at -4.972 eV/atom.

=====

Record 15
## MgCrSb4 (PBE)

Data for a relaxed MgCrSb4 crystal.

The structure belongs to space group F-43m (No. 216); the cell edges are 8.782, 8.782 and 8.782 Å and the angles 90.00°, 90.00° and 90.00°. The asymmetric unit holds Mg at (0.000, 0.000, 0.000), Cr at (0.250, 0.250, 0.250) and Sb at (0.125, 0.125, 0.625).

The total magnetization is 0.826 μB per atom. For the uncorrected formation energy, the calculation gives 2.99 eV/f.u. The calculation puts the uncorrected energy at -4.119 eV/atom.

=====

Record 16
## TlCd2HgPt (PBE)

Data for a relaxed TlCd2HgPt crystal.

The structure belongs to space group P4/mmm (No. 123); the cell edges are 5.256, 5.256 and 5.314 Å and the angles 90.00°, 90.00° and 90.00°. The asymmetric unit holds Tl at (0.000, 0.000, 0.000), Cd at (0.000, 0.500, 0.500), Hg at (0.500, 0.500, 0.000) and Pt at (0.500, 0.500, 0.500).

The total magnetization is 0.000 μB per atom. As for the energy above the lowest structure with this stoichiometry: 3.69 kJ per mole of atoms. As for the formation enthalpy at 0 K: -0.040 eV per atom. The calculation puts the uncorrected energy at -2.148 eV/atom.

=====

Record 17
## CdSb2H (PBE)

Data for a relaxed CdSb2H crystal.

The structure belongs to space group P1 (No. 1); the cell edges are 4.941, 6.949 and 7.026 Å and the angles 101.59°, 110.57° and 110.37°. The asymmetric unit holds Cd at (0.000, 0.000, 0.000), Cd at (0.001, 0.500, 0.500), Sb at (0.261, 0.495, 0.174), Sb at (0.405, 0.992, 0.674), Sb at (0.595, 0.008, 0.326), Sb at (0.738, 0.505, 0.825), H at (0.000, 0.000, 0.500) and H at (0.499, 0.500, 0.000).

The total magnetization is 0.000 μB per atom. As for the energy above the lowest structure with this stoichiometry: 0.00 kJ per mole of atoms. The calculation puts the uncorrected energy at -2.923 eV/atom.

=====

Record 18
## CaTlIr2 (PBE)

Data for a relaxed CaTlIr2 crystal.

The structure belongs to space group I-4m2 (No. 119); the cell edges are 4.112, 4.112 and 8.886 Å and the angles 90.00°, 90.00° and 90.00°. The asymmetric unit holds Ca at (0.000, 0.000, 0.000), Tl at (0.000, 0.500, 0.250), Ir at (0.000, 0.000, 0.500) and Ir at (0.000, 0.500, 0.750).

The total magnetization is 0.000 μB per atom. As for the formation enthalpy at 0 K: 0.224 eV per atom. The calculation puts the uncorrected energy at -5.299 eV/atom.

=====

Record 19
## Na4Tb3HfS8 (PBE)

Data for a relaxed Na4Tb3HfS8 crystal.

The structure belongs to space group R-3m (No. 166, hexagonal axes); the cell edges are 7.8250, 7.8250 and 20.1195 Å and the angles 90.00°, 90.00° and 120.00°. The asymmetric unit holds Na at (0.0000, 0.0000, 0.0000), Na at (0.0000, 0.5000, 0.0000), Tb at (0.0000, 0.5000, 0.5000), Hf at (0.0000, 0.0000, 0.5000), S at (0.0000, 0.0000, 0.2443) and S at (0.0171, 0.5086, 0.2414).

The total magnetization is 0.000 μB per atom. For the uncorrected formation energy, the calculation gives -27.63 eV/f.u. The calculation puts the uncorrected energy at -5.610 eV/atom.

=====

Record 20
## AgCl2 (PBE)

Data for a relaxed AgCl2 crystal.

The structure belongs to space group P6/mmm (No. 191); the cell edges are 4.7773, 4.7773 and 3.4105 Å and the angles 90.00°, 90.00° and 120.00°. The asymmetric unit holds Ag at (0.0000, 0.0000, 0.0000) and Cl at (0.3333, 0.6667, 0.5000).

The total magnetization is 0.000 μB per atom. For the uncorrected formation energy, the calculation gives 0.81 eV/f.u. The calculation puts the uncorrected energy at -1.910 eV/atom.

=====

Record 21
## ZnIrBr (PBE)

Data for a relaxed ZnIrBr crystal.

The structure belongs to space group F-43m (No. 216); the cell edges are 6.152, 6.152 and 6.152 Å and the angles 90.00°, 90.00° and 90.00°. The asymmetric unit holds Zn at (0.000, 0.000, 0.000), Ir at (0.250, 0.250, 0.250) and Br at (0.000, 0.000, 0.500).

The total magnetization is 0.000 μB per atom. For the uncorrected formation energy, the calculation gives 1.75 eV/f.u. As for the energy above the lowest structure with this stoichiometry: 21.99 kJ per mole of atoms. The calculation puts the uncorrected energy at -3.353 eV/atom.

=====

Record 22
## AcCuSnHg (PBE)

Data for a relaxed AcCuSnHg crystal.

The structure belongs to space group F-43m (No. 216); the cell edges are 7.439, 7.439 and 7.439 Å and the angles 90.00°, 90.00° and 90.00°. The asymmetric unit holds Ac at (0.000, 0.000, 0.000), Cu at (0.250, 0.250, 0.250), Sn at (0.000, 0.000, 0.500) and Hg at (0.250, 0.250, 0.750).

The total magnetization is 0.000 μB per atom. As for the formation enthalpy at 0 K: -0.282 eV per atom. The calculation puts the uncorrected energy at -3.409 eV/atom.

=====

Record 23
## Dy15Er2Tm2 (PBE)

Data for a relaxed Dy15Er2Tm2 crystal.

The structure belongs to space group R-3m (No. 166, hexagonal axes); the cell edges are 11.0369, 11.0369 and 17.5825 Å and the angles 90.00°, 90.00° and 120.00°. The asymmetric unit holds Dy at (0.0000, 0.2983, 0.0000), Dy at (0.0000, 0.5000, 0.5000), Dy at (0.0146, 0.5073, 0.1347), Er at (0.0000, 0.0000, 0.3202) and Tm at (0.0000, 0.0000, 0.0952).

The total magnetization is 0.000 μB per atom. As for the formation enthalpy at 0 K: 0.293 eV per atom. The calculation puts the uncorrected energy at -4.291 eV/atom.

=====

Record 24
## CaICl3 (PBE)

Data for a relaxed CaICl3 crystal.

The structure belongs to space group Pm-3m (No. 221); the cell edges are 5.699, 5.699 and 5.699 Å and the angles 90.00°, 90.00° and 90.00°. The asymmetric unit holds Ca at (0.000, 0.000, 0.000), I at (0.500, 0.500, 0.500) and Cl at (0.000, 0.500, 0.500).

The total magnetization is 0.000 μB per atom. For the uncorrected formation energy, the calculation gives -1.92 eV/f.u. As for the energy above the lowest structure with this stoichiometry: 71.51 kJ per mole of atoms. The calculation puts the uncorrected energy at -2.203 eV/atom.